Entry 1:
A relaxed structure of BaPr2NdIn4, computed with PBE-GGA.

Final energy in eV per atom: -3.809
DOS at the Fermi energy in states/eV per atom: 0.698
Formation enthalpy at 0 K in eV per atom: -0.408
Space group: No. 166

Cell: 9.7645 9.7645 9.7645 Å, 33.48 33.48 33.48°
Sites, in units of the cell vectors:
Ba  0.0000  0.0000  0.0000
Pr  0.2515  0.2515  0.2515
Pr  0.7485  0.7485  0.7485
Nd  0.5000  0.5000  0.5000
In  0.1286  0.1286  0.1286
In  0.3800  0.3800  0.3800
In  0.6200  0.6200  0.6200
In  0.8714  0.8714  0.8714


Entry 2:
A relaxed structure of PmEr12Tm3, computed with PBE-GGA.

Final energy in eV per atom: -4.534
DOS at the Fermi energy in states/eV per atom: 1.332
Formation enthalpy at 0 K in eV per atom: 0.024
Space group: No. 123

Cell: 4.9664 4.9664 19.8600 Å, 90.00 90.00 90.00°
Sites, in units of the cell vectors:
Pm  0.0000  0.0000  0.0000
Er  0.0000  0.5000  0.1270
Er  0.0000  0.5000  0.3756
Er  0.0000  0.5000  0.6244
Er  0.0000  0.5000  0.8730
Er  0.5000  0.0000  0.1270
Er  0.5000  0.0000  0.3756
Er  0.5000  0.0000  0.6244
Er  0.5000  0.0000  0.8730
Er  0.5000  0.5000  0.0000
Er  0.5000  0.5000  0.2518
Er  0.5000  0.5000  0.5000
Er  0.5000  0.5000  0.7482
Tm  0.0000  0.0000  0.2512
Tm  0.0000  0.0000  0.5000
Tm  0.0000  0.0000  0.7488


Entry 3:
A relaxed structure of NaScSn, computed with PBE-GGA.

Final energy in eV per atom: -4.187
DOS at the Fermi energy in states/eV per atom: 0.766
Formation enthalpy at 0 K in eV per atom: -0.302
Space group: No. 65

Cell: 8.8300 8.8300 3.4980 Å, 90.00 90.00 147.42°
Sites, in units of the cell vectors:
Na  0.0000  0.0000  0.0000
Na  0.5000  0.5000  0.5000
Sc  0.1842  0.8158  0.5000
Sc  0.8158  0.1842  0.5000
Sn  0.3437  0.6563  0.0000
Sn  0.6563  0.3437  0.0000


Entry 4:
A relaxed structure of Y2TcHgB, computed with PBE-GGA.

Final energy in eV per atom: -6.292
DOS at the Fermi energy in states/eV per atom: 0.698
Formation enthalpy at 0 K in eV per atom: -0.238
Space group: No. 123

Cell: 5.1379 5.1379 4.0152 Å, 90.00 90.00 90.00°
Sites, in units of the cell vectors:
Y  0.0000  0.5000  0.0000
Y  0.5000  0.0000  0.0000
Tc  0.0000  0.0000  0.5000
Hg  0.5000  0.5000  0.5000
B  0.0000  0.0000  0.0000


Entry 5:
A relaxed structure of Tm3TcO6, computed with PBE-GGA.

Final energy in eV per atom: -8.328
Space group: No. 148

Cell: 6.4372 6.4372 6.4372 Å, 98.38 98.38 98.38°
Sites, in units of the cell vectors:
Tm  0.1042  0.7866  0.6131
Tm  0.2134  0.3869  0.8958
Tm  0.3869  0.8958  0.2134
Tm  0.6131  0.1042  0.7866
Tm  0.7866  0.6131  0.1042
Tm  0.8958  0.2134  0.3869
Tc  0.0000  0.0000  0.0000
Tc  0.5000  0.5000  0.5000
O  0.0685  0.9215  0.3095
O  0.0785  0.6905  0.9315
O  0.1906  0.4366  0.5538
O  0.3095  0.0685  0.9215
O  0.4366  0.5538  0.1906
O  0.4462  0.8094  0.5634
O  0.5538  0.1906  0.4366
O  0.5634  0.4462  0.8094
O  0.6905  0.9315  0.0785
O  0.8094  0.5634  0.4462
O  0.9215  0.3095  0.0685
O  0.9315  0.0785  0.6905


Entry 6:
A relaxed structure of Pr2GdSb, computed with PBE-GGA.

Final energy in eV per atom: -7.483
Distance to the lowest polymorph of the same formula in eV per formula unit: 0.00
DOS at the Fermi energy in states/eV per atom: 1.136
Space group: No. 123

Cell: 4.9326 4.9326 4.9138 Å, 90.00 90.00 90.00°
Sites, in units of the cell vectors:
Pr  0.0000  0.5000  0.0000
Pr  0.5000  0.0000  0.0000
Gd  0.0000  0.0000  0.5000
Sb  0.5000  0.5000  0.5000


Entry 7:
A relaxed structure of Na3Al2GaO6, computed with PBE-GGA.

Final energy in eV per atom: -5.964
DOS at the Fermi energy in states/eV per atom: 0.000
Space group: No. 12

Cell: 5.0953 5.0953 5.6399 Å, 98.67 98.67 120.00°
Sites, in units of the cell vectors:
Na  0.0000  0.0000  0.0000
Na  0.3347  0.6653  0.0000
Na  0.6653  0.3347  0.0000
Al  0.1667  0.8333  0.5000
Al  0.8333  0.1667  0.5000
Ga  0.5000  0.5000  0.5000
O  0.0922  0.4360  0.3084
O  0.2200  0.2200  0.6920
O  0.4360  0.0922  0.3084
O  0.5640  0.9078  0.6916
O  0.7800  0.7800  0.3080
O  0.9078  0.5640  0.6916


Entry 8:
A relaxed structure of CuPb3F7, computed with PBE-GGA.

Final energy in eV per atom: -4.630
Space group: No. 63

Cell: 7.0663 7.0663 8.4134 Å, 90.00 90.00 110.60°
Sites, in units of the cell vectors:
Cu  0.0000  0.0000  0.0000
Cu  0.0000  0.0000  0.5000
Pb  0.0003  0.4720  0.2500
Pb  0.9997  0.5280  0.7500
Pb  0.4720  0.0003  0.7500
Pb  0.5000  0.5000  0.0000
Pb  0.5000  0.5000  0.5000
Pb  0.5280  0.9997  0.2500
F  0.1034  0.3457  0.5114
F  0.1034  0.3457  0.9886
F  0.1117  0.8883  0.7500
F  0.3457  0.1034  0.0114
F  0.3457  0.1034  0.4886
F  0.3708  0.6292  0.7500
F  0.3812  0.6188  0.2500
F  0.6188  0.3812  0.7500
F  0.6292  0.3708  0.2500
F  0.6543  0.8966  0.5114
F  0.6543  0.8966  0.9886
F  0.8883  0.1117  0.2500
F  0.8966  0.6543  0.0114
F  0.8966  0.6543  0.4886


Entry 9:
A relaxed structure of NbVGaRh, computed with PBE-GGA.

Final energy in eV per atom: -7.676
DOS at the Fermi energy in states/eV per atom: 0.830
Formation enthalpy at 0 K in eV per atom: -0.285
Space group: No. 216

Cell: 4.4189 4.4189 4.4189 Å, 60.00 60.00 60.00°
Sites, in units of the cell vectors:
Nb  0.0000  0.0000  0.0000
V  0.7500  0.7500  0.7500
Ga  0.5000  0.5000  0.5000
Rh  0.2500  0.2500  0.2500


Entry 10:
A relaxed structure of Tl3In7Ga2, computed with PBE-GGA.

Final energy in eV per atom: -2.633
DOS at the Fermi energy in states/eV per atom: 0.365
Formation enthalpy at 0 K in eV per atom: 0.061
Space group: No. 65

Cell: 15.1503 15.1503 4.8335 Å, 90.00 90.00 162.37°
Sites, in units of the cell vectors:
Tl  0.0000  0.0000  0.0000
Tl  0.2067  0.7933  0.5000
Tl  0.7933  0.2067  0.5000
In  0.0860  0.9140  0.5000
In  0.2930  0.7070  0.0000
In  0.4163  0.5837  0.0000
In  0.5000  0.5000  0.5000
In  0.5837  0.4163  0.0000
In  0.7070  0.2930  0.0000
In  0.9140  0.0860  0.5000
Ga  0.1429  0.8571  0.0000
Ga  0.8571  0.1429  0.0000